The following is a DFT calculation (PBE-GGA) of crystalline CeHo2Sc at its relaxed geometry.

Properties
The distance to the lowest polymorph of the same formula is 8.7 meV per atom. Its density of states at the Fermi level is 2.083 states/eV per atom. The total moment comes out at 0.67 μB/f.u. The calculation puts the final energy at -5.274 eV/atom. The calculation puts the energy relative to the elements at 0.3 eV per formula unit.

Lattice parameters (Å, degrees): 3.4366 3.4366 9.8174 90.00 90.00 90.00
Atoms (fractional coordinates):
Ce 0.0000 0.0000 0.0000
Ho 0.5000 0.5000 0.2573
Ho 0.5000 0.5000 0.7427
Sc 0.0000 0.0000 0.5000


The following is a DFT calculation (PBE-GGA) of crystalline SmSbPd4 at its relaxed geometry.

Properties
The distance to the lowest polymorph of the same formula is 0.0 meV per atom. Its density of states at the Fermi level is 1.076 states/eV per atom. The total moment comes out at 0.00 μB/f.u. The calculation puts the final energy at -5.490 eV/atom.

Lattice parameters (Å, degrees): 5.4336 5.4336 5.4336 60.00 60.00 60.00
Atoms (fractional coordinates):
Sm 0.0000 0.0000 0.0000
Sb 0.2500 0.2500 0.2500
Pd 0.1245 0.6252 0.6252
Pd 0.6252 0.1245 0.6252
Pd 0.6252 0.6252 0.1245
Pd 0.6252 0.6252 0.6252


The following is a DFT calculation (PBE-GGA) of crystalline NiSn2N at its relaxed geometry.

Properties
Its density of states at the Fermi level is 0.950 states/eV per atom. The total moment comes out at 0.00 μB/f.u. The calculation puts the final energy at -5.238 eV/atom.

Lattice parameters (Å, degrees): 6.2160 6.2160 6.2160 125.27 125.27 81.10
Atoms (fractional coordinates):
Ni 0.0000 0.0000 0.0000
Ni 0.7500 0.2500 0.5000
Sn 0.1627 0.6250 0.0377
Sn 0.3750 0.4127 0.5377
Sn 0.5873 0.1250 0.9623
Sn 0.8750 0.8373 0.4623
N 0.2500 0.7500 0.5000
N 0.5000 0.5000 0.0000


The following is a DFT calculation (PBE-GGA) of crystalline CaMoOs2C at its relaxed geometry.

Properties
Its density of states at the Fermi level is 1.052 states/eV per atom. The total moment comes out at 0.00 μB/f.u. The calculation puts the final energy at -8.209 eV/atom. The calculation puts the energy relative to the elements at 3.5 eV per formula unit.

Lattice parameters (Å, degrees): 4.0588 4.0588 4.5817 90.00 90.00 90.00
Atoms (fractional coordinates):
Ca 0.0000 0.0000 0.0000
Mo 0.5000 0.5000 0.0000
Os 0.0000 0.5000 0.5000
Os 0.5000 0.0000 0.5000
C 0.0000 0.0000 0.5000